1.
Compound: KNaGa2Rh
Source: Alexandria
Functional: PBE
Structure: relaxed

The structure in POSCAR format:
```
KNaGa2Rh
1.0
-0.1357 -1.4069 -4.6194
-4.3752 -1.9198 0.7132
-2.3417 4.8173 -1.3984
Ga K Rh Na
2 1 1 1
Direct
0.0000 0.5000 0.0000 Ga
0.5000 0.0000 0.0000 Ga
0.5000 0.5000 0.5000 K
0.0000 0.0000 0.0000 Rh
0.0000 0.0000 0.5000 Na
```

- Calculated volume: 25.8 Å³ per atom
- Formation energy from the elements: -1.23 eV per formula unit
- Crystal system: tetragonal
- Fermi-level density of states: 1.391 states/eV/cell

***

2.
Compound: SbRh3Cl
Source: Alexandria
Functional: PBE
Structure: relaxed

The structure in POSCAR format:
```
SbRh3Cl
1.0
-2.0746 -4.2521 1.3868
1.3832 -2.0638 -4.2586
4.2533 -1.4029 2.0613
Sb Rh Cl
1 3 1
Direct
0.0000 0.0000 0.0000 Sb
0.0000 0.5000 0.0000 Rh
0.0000 0.0000 0.5000 Rh
0.5000 0.0000 0.0000 Rh
0.5000 0.5000 0.5000 Cl
```

- ΔE to the lowest computed polymorph: 39.4 kJ per mole of atoms
- Calculated volume: 24.0 Å³ per atom
- Crystal system: cubic
- Fermi-level density of states: 6.805 states/eV/cell
- Formation energy from raw total energies: 1.020 eV per atom

***

3.
Compound: Ac5Tl5Cd2
Source: Alexandria
Functional: PBE
Structure: relaxed

The structure in POSCAR format:
```
Ac5Tl5Cd2
1.0
5.0597 0.0000 1.1415
2.6872 8.7876 -0.1267
0.5658 -1.2871 9.2765
Tl Cd Ac
5 2 5
Direct
0.9789 0.2657 0.7765 Tl
0.0000 0.0000 0.0000 Tl
0.0211 0.7343 0.2235 Tl
0.7046 0.2465 0.3443 Tl
0.2954 0.7535 0.6557 Tl
0.4142 0.4345 0.7370 Cd
0.5858 0.5655 0.2630 Cd
0.3388 0.9885 0.3339 Ac
0.6612 0.0115 0.6661 Ac
0.0000 0.5000 0.5000 Ac
0.6875 0.6950 0.9301 Ac
0.3125 0.3050 0.0699 Ac
```

- Calculated volume: 33.5 Å³ per atom
- Formation energy from the elements: -3.79 eV per formula unit
- Crystal system: monoclinic
- Fermi-level density of states: 9.644 states/eV/cell